[1]
## Nd8Ga2Hg (PBE)

Data for a relaxed structure of Nd8Ga2Hg.

Calculated values
DFT total energy: -4.307 eV/atom
M_tot: 0.0 Bohr magnetons per cell
polymorph energy (0 for the lowest one): 0.000 eV/f.u.
energy of formation: -0.26 eV/atom

```
data_Nd8Ga2Hg
_cell_length_a 18.154
_cell_length_b 5.010
_cell_length_c 7.727
_cell_angle_alpha 90.00
_cell_angle_beta 108.03
_cell_angle_gamma 90.00
_symmetry_space_group_name_H-M 'C 1 2/m 1'
_symmetry_Int_Tables_number 12
_symmetry_space_group_name_Hall '-C 2y'
loop_
_atom_site_label
_atom_site_type_symbol
_atom_site_fract_x
_atom_site_fract_y
_atom_site_fract_z
Nd1 Nd 0.032 0.000 0.254
Nd2 Nd 0.093 0.500 0.963
Nd3 Nd 0.170 0.500 0.449
Nd4 Nd 0.194 0.000 0.798
Ga1 Ga 0.194 0.000 0.196
Hg1 Hg 0.000 0.500 0.500
```

***

[2]
## CsPu4Ni3Se12 (PBE)

Data for a relaxed structure of CsPu4Ni3Se12.

Calculated values
DFT total energy: -6.607 eV/atom
M_tot: 29.9 Bohr magnetons per cell

```
data_CsPu4Ni3Se12
_cell_length_a 10.201
_cell_length_b 10.201
_cell_length_c 10.201
_cell_angle_alpha 90.00
_cell_angle_beta 90.00
_cell_angle_gamma 90.00
_symmetry_space_group_name_H-M 'I m -3'
_symmetry_Int_Tables_number 204
_symmetry_space_group_name_Hall '-I 2 2 3'
loop_
_atom_site_label
_atom_site_type_symbol
_atom_site_fract_x
_atom_site_fract_y
_atom_site_fract_z
Cs1 Cs 0.000 0.000 0.000
Pu1 Pu 0.250 0.250 0.250
Ni1 Ni 0.000 0.000 0.500
Se1 Se 0.000 0.160 0.333
```

***

The evaluated DOS(E_F) for the records listed, in turn: 12.61; 34.80 states/eV/f.u..